No. 1
Computed, not measured: a relaxed Pa4OsRuS2 crystal at the PBE level of DFT.

Geometry as CIF:
```
data_Pa4OsRuS2
_cell_length_a 6.669
_cell_length_b 3.859
_cell_length_c 7.253
_cell_angle_alpha 90.00
_cell_angle_beta 107.93
_cell_angle_gamma 90.00
_symmetry_space_group_name_H-M 'P 1 2/m 1'
_symmetry_Int_Tables_number 10
loop_
_symmetry_equiv_pos_as_xyz
'x,y,z'
'-x,-y,-z'
'-x,y,-z'
'x,-y,z'
loop_
_atom_site_label
_atom_site_type_symbol
_atom_site_fract_x
_atom_site_fract_y
_atom_site_fract_z
Pa1 Pa 0.246 0.000 0.240
Pa2 Pa 0.253 0.500 0.761
Os1 Os 0.500 0.000 0.000
Ru1 Ru 0.000 0.500 0.000
S1 S 0.000 0.000 0.500
S2 S 0.500 0.500 0.500
```

Computed properties:
DOS at the Fermi energy in states/eV per atom: 1.391
Total magnetization in μB/cell: 0.000
Raw formation energy in eV/atom: -0.92


No. 2
Computed, not measured: a relaxed PaSi2OsRu2 crystal at the PBE level of DFT.

Geometry as CIF:
```
data_PaSi2OsRu2
_cell_length_a 3.799
_cell_length_b 3.799
_cell_length_c 17.822
_cell_angle_alpha 90.00
_cell_angle_beta 90.00
_cell_angle_gamma 90.00
_symmetry_space_group_name_H-M 'I 4/m m m'
_symmetry_Int_Tables_number 139
_symmetry_space_group_name_Hall '-I 4 2'
loop_
_atom_site_label
_atom_site_type_symbol
_atom_site_fract_x
_atom_site_fract_y
_atom_site_fract_z
Pa1 Pa 0.000 0.000 0.000
Si1 Si 0.000 0.000 0.166
Os1 Os 0.000 0.000 0.500
Ru1 Ru 0.000 0.500 0.250
```

Computed properties:
DOS at the Fermi energy in states/eV per atom: 1.246
Total magnetization in μB/cell: 0.150
Raw formation energy in eV/atom: 0.41